No. 1
{"formula": "TbGa2F8", "functional": "GGA-PBE", "state": "optimized geometry", "volume_a3_per_atom": 14.5, "mass_density_g_cm3": 4.70, "total_energy_ev_per_atom": -5.20, "e_form_raw_ev_per_fu": -31.534, "de_polymorph_mev_per_atom": 69, "cell": [[6.7338, 0.0000, 0.0000], [-3.3669, 5.8317, 0.0000], [0.0000, 0.0000, 4.0542]], "species": ["Tb", "Ga", "Ga", "F", "F", "F", "F", "F", "F", "F", "F"], "fractional_positions": [[0.0000, 0.0000, 0.0000], [0.3333, 0.6667, 0.7372], [0.6667, 0.3333, 0.2628], [0.1667, 0.3351, 0.7391], [0.1684, 0.8333, 0.7391], [0.3333, 0.6667, 0.2416], [0.3351, 0.1684, 0.2609], [0.6649, 0.8316, 0.7391], [0.6667, 0.3333, 0.7584], [0.8316, 0.1667, 0.2609], [0.8333, 0.6649, 0.2609]]}

---

No. 2
{"formula": "Ga2TcF", "functional": "GGA-PBE", "state": "optimized geometry", "volume_a3_per_atom": 15.4, "mass_density_g_cm3": 6.93, "total_energy_ev_per_atom": -4.87, "e_form_raw_ev_per_fu": -1.199, "de_polymorph_mev_per_atom": 0, "cell": [[-3.1730, 3.1730, 3.0521], [3.1730, -3.1730, 3.0521], [3.1730, 3.1730, -3.0521]], "species": ["Ga", "Ga", "Ga", "Ga", "Tc", "Tc", "F", "F"], "fractional_positions": [[0.0875, 0.6250, 0.9625], [0.3750, 0.3375, 0.4625], [0.6625, 0.1250, 0.0375], [0.8750, 0.9125, 0.5375], [0.2500, 0.7500, 0.5000], [0.5000, 0.5000, 0.0000], [0.0000, 0.0000, 0.0000], [0.7500, 0.2500, 0.5000]]}

---

No. 3
{"formula": "GaTc2F", "functional": "GGA-PBE", "state": "optimized geometry", "volume_a3_per_atom": 13.8, "mass_density_g_cm3": 8.56, "total_energy_ev_per_atom": -6.15, "e_form_raw_ev_per_fu": 1.043, "de_polymorph_mev_per_atom": 35, "cell": [[0.0000, 3.0232, 3.0232], [3.0232, 0.0000, 3.0232], [3.0232, 3.0232, 0.0000]], "species": ["Ga", "Tc", "Tc", "F"], "fractional_positions": [[0.0000, 0.0000, 0.0000], [0.2500, 0.2500, 0.2500], [0.7500, 0.7500, 0.7500], [0.5000, 0.5000, 0.5000]]}

---

No. 4
{"formula": "Ga2TcF", "functional": "GGA-PBE", "state": "optimized geometry", "volume_a3_per_atom": 15.3, "mass_density_g_cm3": 6.94, "total_energy_ev_per_atom": -4.66, "e_form_raw_ev_per_fu": -0.337, "de_polymorph_mev_per_atom": 215, "cell": [[0.0000, 3.1303, 3.1303], [3.1303, 0.0000, 3.1303], [3.1303, 3.1303, 0.0000]], "species": ["Ga", "Ga", "Tc", "F"], "fractional_positions": [[0.2500, 0.2500, 0.2500], [0.7500, 0.7500, 0.7500], [0.0000, 0.0000, 0.0000], [0.5000, 0.5000, 0.5000]]}

---

No. 5
{"formula": "GaTcF2", "functional": "GGA-PBE", "state": "optimized geometry", "volume_a3_per_atom": 12.7, "mass_density_g_cm3": 6.71, "total_energy_ev_per_atom": -4.59, "e_form_raw_ev_per_fu": -1.233, "de_polymorph_mev_per_atom": 789, "cell": [[0.0000, 2.9417, 2.9417], [2.9417, 0.0000, 2.9417], [2.9417, 2.9417, 0.0000]], "species": ["Ga", "Tc", "F", "F"], "fractional_positions": [[0.0000, 0.0000, 0.0000], [0.5000, 0.5000, 0.5000], [0.2500, 0.2500, 0.2500], [0.7500, 0.7500, 0.7500]]}

---

No. 6
{"formula": "GaTcF2", "functional": "GGA-PBE", "state": "optimized geometry", "volume_a3_per_atom": 12.5, "mass_density_g_cm3": 6.85, "total_energy_ev_per_atom": -5.09, "e_form_raw_ev_per_fu": -3.232, "de_polymorph_mev_per_atom": 289, "cell": [[1.3391, 0.7731, 8.0280], [-1.3391, 0.7731, 8.0280], [0.0000, -1.5462, 8.0280]], "species": ["Ga", "Tc", "F", "F"], "fractional_positions": [[0.0000, 0.0000, 0.0000], [0.5000, 0.5000, 0.5000], [0.0858, 0.0858, 0.0858], [0.9142, 0.9142, 0.9142]]}

---

No. 7
{"formula": "GaTc2F", "functional": "GGA-PBE", "state": "optimized geometry", "volume_a3_per_atom": 14.3, "mass_density_g_cm3": 8.29, "total_energy_ev_per_atom": -6.18, "e_form_raw_ev_per_fu": 0.905, "de_polymorph_mev_per_atom": 0, "cell": [[-3.4450, 3.4450, 2.4034], [3.4450, -3.4450, 2.4034], [3.4450, 3.4450, -2.4034]], "species": ["Ga", "Ga", "Tc", "Tc", "Tc", "Tc", "F", "F"], "fractional_positions": [[0.0000, 0.0000, 0.0000], [0.7500, 0.2500, 0.5000], [0.1860, 0.6250, 0.0610], [0.3750, 0.4360, 0.5610], [0.5640, 0.1250, 0.9390], [0.8750, 0.8140, 0.4390], [0.2500, 0.7500, 0.5000], [0.5000, 0.5000, 0.0000]]}

---

No. 8
{"formula": "GaTcF2", "functional": "GGA-PBE", "state": "optimized geometry", "volume_a3_per_atom": 13.2, "mass_density_g_cm3": 6.49, "total_energy_ev_per_atom": -5.38, "e_form_raw_ev_per_fu": -4.388, "de_polymorph_mev_per_atom": 0, "cell": [[1.3665, 0.7889, 8.1431], [-1.3665, 0.7889, 8.1431], [0.0000, -1.5779, 8.1431]], "species": ["Ga", "Tc", "F", "F"], "fractional_positions": [[0.0000, 0.0000, 0.0000], [0.5000, 0.5000, 0.5000], [0.4190, 0.4190, 0.4190], [0.5810, 0.5810, 0.5810]]}

---

No. 9
{"formula": "Ga3TeF", "functional": "GGA-PBE", "state": "optimized geometry", "volume_a3_per_atom": 45.7, "mass_density_g_cm3": 2.59, "total_energy_ev_per_atom": -2.67, "e_form_raw_ev_per_fu": 0.721, "de_polymorph_mev_per_atom": 707, "cell": [[6.1128, 0.0000, 0.0000], [0.0000, 6.1128, 0.0000], [0.0000, 0.0000, 6.1128]], "species": ["Ga", "Ga", "Ga", "Te", "F"], "fractional_positions": [[0.0000, 0.0000, 0.5000], [0.0000, 0.5000, 0.0000], [0.5000, 0.0000, 0.0000], [0.0000, 0.0000, 0.0000], [0.5000, 0.5000, 0.5000]]}

---

No. 10
{"formula": "GaTe2F", "functional": "GGA-PBE", "state": "optimized geometry", "volume_a3_per_atom": 28.8, "mass_density_g_cm3": 4.96, "total_energy_ev_per_atom": -3.27, "e_form_raw_ev_per_fu": -1.881, "de_polymorph_mev_per_atom": 0, "cell": [[2.0969, 1.2107, 7.5549], [-2.0969, 1.2107, 7.5549], [0.0000, -2.4213, 7.5549]], "species": ["Ga", "Te", "Te", "F"], "fractional_positions": [[0.0000, 0.0000, 0.0000], [0.3993, 0.3993, 0.3993], [0.6007, 0.6007, 0.6007], [0.5000, 0.5000, 0.5000]]}

---

No. 11
{"formula": "Ga3TeF", "functional": "GGA-PBE", "state": "optimized geometry", "volume_a3_per_atom": 23.5, "mass_density_g_cm3": 5.03, "total_energy_ev_per_atom": -3.38, "e_form_raw_ev_per_fu": -2.812, "de_polymorph_mev_per_atom": 0, "cell": [[4.8984, 0.0000, 0.0000], [0.0000, 4.8984, 0.0000], [0.0000, 0.0000, 4.8984]], "species": ["Ga", "Ga", "Ga", "Te", "F"], "fractional_positions": [[0.0000, 0.0000, 0.5000], [0.0000, 0.5000, 0.0000], [0.5000, 0.0000, 0.0000], [0.5000, 0.5000, 0.5000], [0.0000, 0.0000, 0.0000]]}

---

No. 12
{"formula": "GaTe2F", "functional": "GGA-PBE", "state": "optimized geometry", "volume_a3_per_atom": 21.8, "mass_density_g_cm3": 6.55, "total_energy_ev_per_atom": -3.08, "e_form_raw_ev_per_fu": -1.154, "de_polymorph_mev_per_atom": 182, "cell": [[1.6131, 0.9313, 9.6654], [-1.6131, 0.9313, 9.6654], [0.0000, -1.8627, 9.6654]], "species": ["Ga", "Te", "Te", "F"], "fractional_positions": [[0.0000, 0.0000, 0.0000], [0.0940, 0.0940, 0.0940], [0.9060, 0.9060, 0.9060], [0.5000, 0.5000, 0.5000]]}